No. 1
ErMg: relaxed, PBE-GGA.

Properties
Its mass density is 5.911 g/cm³. As for the volume: 26.91 Å³ per atom. The value obtained for the energy is -3.039 eV/atom. Its spin magnetization is 0.0 μB/f.u.

Unit cell a=6.0231 b=5.3388 c=6.6942 alpha=90.00 beta=90.00 gamma=90.00
Atoms (fractional coordinates):
Er  0.1155  0.2500  0.1289
Er  0.3845  0.7500  0.6289
Er  0.6155  0.2500  0.3711
Er  0.8845  0.7500  0.8711
Mg  0.0811  0.2500  0.6254
Mg  0.4189  0.7500  0.1254
Mg  0.5811  0.2500  0.8746
Mg  0.9189  0.7500  0.3746

=====

No. 2
Er2Mg: relaxed, PBE-GGA.

Properties
Its mass density is 5.692 g/cm³. As for the volume: 34.89 Å³ per atom. The value obtained for the energy is -2.858 eV/atom. Its spin magnetization is 0.0 μB/f.u.

Unit cell a=6.2901 b=6.2901 c=5.2918 alpha=90.00 beta=90.00 gamma=90.00
Atoms (fractional coordinates):
Er  0.1773  0.1773  0.0000
Er  0.3227  0.6773  0.5000
Er  0.6773  0.3227  0.5000
Er  0.8227  0.8227  0.0000
Mg  0.0000  0.0000  0.5000
Mg  0.5000  0.5000  0.0000

=====

No. 3
Er2Mg: relaxed, PBE-GGA.

Properties
Its mass density is 6.914 g/cm³. As for the volume: 28.73 Å³ per atom. The value obtained for the energy is -3.524 eV/atom. Its spin magnetization is 0.4 μB/f.u.

Unit cell a=3.4630 b=3.4630 c=16.5968 alpha=90.00 beta=90.00 gamma=120.00
Atoms (fractional coordinates):
Er  0.3333  0.6667  0.2552
Er  0.3333  0.6667  0.9152
Er  0.6667  0.3333  0.0848
Er  0.6667  0.3333  0.7448
Mg  0.3333  0.6667  0.5772
Mg  0.6667  0.3333  0.4228

=====

No. 4
Er2Mg: relaxed, PBE-GGA.

Properties
Its mass density is 6.908 g/cm³. As for the volume: 28.75 Å³ per atom. The value obtained for the energy is -3.499 eV/atom. Its spin magnetization is 0.0 μB/f.u.

Unit cell a=3.4412 b=3.4412 c=16.8197 alpha=90.00 beta=90.00 gamma=120.00
Atoms (fractional coordinates):
Er  0.0000  0.0000  0.0000
Er  0.0000  0.0000  0.3331
Er  0.0000  0.0000  0.6669
Er  0.6667  0.3333  0.5000
Mg  0.6667  0.3333  0.1665
Mg  0.6667  0.3333  0.8335

=====

No. 5
Er2Mg: relaxed, PBE-GGA.

Properties
Its mass density is 6.633 g/cm³. As for the volume: 29.94 Å³ per atom. The value obtained for the energy is -3.275 eV/atom. Its spin magnetization is 0.0 μB/f.u.

Unit cell a=6.3336 b=6.3336 c=6.3336 alpha=60.00 beta=60.00 gamma=60.00
Atoms (fractional coordinates):
Er  0.0000  0.0000  0.0000
Er  0.0000  0.0000  0.5000
Er  0.0000  0.5000  0.0000
Er  0.5000  0.0000  0.0000
Mg  0.3750  0.3750  0.3750
Mg  0.6250  0.6250  0.6250

=====

No. 6
Er2Mg17: relaxed, PBE-GGA.

Properties
Its mass density is 2.730 g/cm³. As for the volume: 23.94 Å³ per atom. The value obtained for the energy is -1.859 eV/atom. Its spin magnetization is 0.0 μB/f.u.

Unit cell a=7.7623 b=7.7623 c=7.7623 alpha=81.87 beta=81.87 gamma=81.87
Atoms (fractional coordinates):
Er  0.1733  0.1733  0.1733
Er  0.8267  0.8267  0.8267
Mg  0.0000  0.5000  0.5000
Mg  0.1476  0.1476  0.6606
Mg  0.1476  0.6606  0.1476
Mg  0.1933  0.5000  0.8067
Mg  0.1933  0.8067  0.5000
Mg  0.3394  0.8524  0.8524
Mg  0.4006  0.4006  0.4006
Mg  0.5000  0.0000  0.5000
Mg  0.5000  0.1933  0.8067
Mg  0.5000  0.5000  0.0000
Mg  0.5000  0.8067  0.1933
Mg  0.5994  0.5994  0.5994
Mg  0.6606  0.1476  0.1476
Mg  0.8067  0.1933  0.5000
Mg  0.8067  0.5000  0.1933
Mg  0.8524  0.3394  0.8524
Mg  0.8524  0.8524  0.3394

=====

No. 7
ErMg: relaxed, PBE-GGA.

Properties
Its mass density is 5.936 g/cm³. As for the volume: 26.79 Å³ per atom. The value obtained for the energy is -3.072 eV/atom. Its spin magnetization is 0.0 μB/f.u.

Unit cell a=7.1025 b=5.3407 c=8.6561 alpha=90.00 beta=101.70 gamma=90.00
Atoms (fractional coordinates):
Er  0.1349  0.2500  0.0420
Er  0.2035  0.7500  0.3001
Er  0.3588  0.7500  0.9394
Er  0.6412  0.2500  0.0606
Er  0.7965  0.2500  0.6999
Er  0.8651  0.7500  0.9580
Mg  0.0254  0.7500  0.6215
Mg  0.3004  0.2500  0.6935
Mg  0.4657  0.2500  0.3798
Mg  0.5343  0.7500  0.6202
Mg  0.6996  0.7500  0.3065
Mg  0.9746  0.2500  0.3785

=====

No. 8
Er3Mg4: relaxed, PBE-GGA.

Properties
Its mass density is 5.353 g/cm³. As for the volume: 26.54 Å³ per atom. The value obtained for the energy is -2.857 eV/atom. The calculation puts the offset from the most stable computed form at 0.000 eV per atom. Its spin magnetization is 0.0 μB/f.u.

Unit cell a=8.9316 b=8.9316 c=5.3790 alpha=90.00 beta=90.00 gamma=120.00
Atoms (fractional coordinates):
Er  0.0635  0.2505  0.2500
Er  0.1869  0.9365  0.2500
Er  0.2505  0.1869  0.7500
Er  0.7495  0.8131  0.2500
Er  0.8131  0.0635  0.7500
Er  0.9365  0.7495  0.7500
Mg  0.1001  0.4850  0.7500
Mg  0.3333  0.6667  0.2500
Mg  0.3850  0.8999  0.7500
Mg  0.4850  0.3850  0.2500
Mg  0.5150  0.6150  0.7500
Mg  0.6150  0.1001  0.2500
Mg  0.6667  0.3333  0.7500
Mg  0.8999  0.5150  0.2500

=====

No. 9
ErMg: relaxed, PBE-GGA.

Properties
Its mass density is 5.843 g/cm³. As for the volume: 27.22 Å³ per atom. The value obtained for the energy is -3.048 eV/atom. Its spin magnetization is 0.0 μB/f.u.

Unit cell a=7.0664 b=5.3843 c=8.7684 alpha=90.00 beta=101.72 gamma=90.00
Atoms (fractional coordinates):
Er  0.0296  0.2500  0.1144
Er  0.3065  0.7500  0.2340
Er  0.4680  0.7500  0.8792
Er  0.5320  0.2500  0.1208
Er  0.6935  0.2500  0.7660
Er  0.9704  0.7500  0.8856
Mg  0.1282  0.7500  0.5541
Mg  0.1921  0.2500  0.7805
Mg  0.3535  0.2500  0.4555
Mg  0.6465  0.7500  0.5445
Mg  0.8079  0.7500  0.2195
Mg  0.8718  0.2500  0.4459

=====

No. 10
ErMg: relaxed, PBE-GGA.

Properties
Its mass density is 5.791 g/cm³. As for the volume: 27.47 Å³ per atom. The value obtained for the energy is -3.017 eV/atom. Its spin magnetization is 0.1 μB/f.u.

Unit cell a=3.6255 b=5.4096 c=5.6016 alpha=90.00 beta=90.00 gamma=90.00
Atoms (fractional coordinates):
Er  0.2500  0.2500  0.0844
Er  0.7500  0.7500  0.9156
Mg  0.2500  0.7500  0.4179
Mg  0.7500  0.2500  0.5821

=====

No. 11
Er3Mg4: relaxed, PBE-GGA.

Properties
Its mass density is 5.355 g/cm³. As for the volume: 26.54 Å³ per atom. The value obtained for the energy is -2.848 eV/atom. The calculation puts the offset from the most stable computed form at 0.009 eV per atom. Its spin magnetization is 0.0 μB/f.u.

Unit cell a=8.9978 b=8.9978 c=5.2987 alpha=90.00 beta=90.00 gamma=120.00
Atoms (fractional coordinates):
Er  0.0988  0.6305  0.2500
Er  0.3695  0.4683  0.2500
Er  0.4683  0.0988  0.7500
Er  0.5317  0.9012  0.2500
Er  0.6305  0.5317  0.7500
Er  0.9012  0.3695  0.7500
Mg  0.0477  0.8132  0.7500
Mg  0.1868  0.2345  0.7500
Mg  0.2345  0.0477  0.2500
Mg  0.3333  0.6667  0.7500
Mg  0.6667  0.3333  0.2500
Mg  0.7655  0.9523  0.7500
Mg  0.8132  0.7655  0.2500
Mg  0.9523  0.1868  0.2500

=====

No. 12
Er2Mg: relaxed, PBE-GGA.

Properties
Its mass density is 7.107 g/cm³. As for the volume: 27.94 Å³ per atom. The value obtained for the energy is -3.585 eV/atom. Its spin magnetization is 0.3 μB/f.u.

Unit cell a=6.7095 b=6.7095 c=6.7095 alpha=148.15 beta=148.15 gamma=45.67
Atoms (fractional coordinates):
Er  0.1576  0.1576  0.0000
Er  0.8424  0.8424  0.0000
Mg  0.5000  0.5000  0.0000

=====

No. 13
ErMg2: relaxed, PBE-GGA.

Properties
Its mass density is 4.696 g/cm³. As for the volume: 25.45 Å³ per atom. The value obtained for the energy is -2.611 eV/atom. Its spin magnetization is 0.0 μB/f.u.

Unit cell a=5.9992 b=5.9992 c=5.9992 alpha=60.00 beta=60.00 gamma=60.00
Atoms (fractional coordinates):
Er  0.1250  0.1250  0.1250
Er  0.8750  0.8750  0.8750
Mg  0.0000  0.5000  0.5000
Mg  0.5000  0.0000  0.5000
Mg  0.5000  0.5000  0.0000
Mg  0.5000  0.5000  0.5000

=====

No. 14
ErMg: relaxed, PBE-GGA.

Properties
Its mass density is 5.904 g/cm³. As for the volume: 26.94 Å³ per atom. The value obtained for the energy is -3.067 eV/atom. Its spin magnetization is 0.0 μB/f.u.

Unit cell a=6.7014 b=5.2863 c=9.1251 alpha=90.00 beta=90.30 gamma=90.00
Atoms (fractional coordinates):
Er  0.0093  0.2500  0.0889
Er  0.2486  0.2500  0.7473
Er  0.2512  0.7500  0.2506
Er  0.7488  0.2500  0.7494
Er  0.7514  0.7500  0.2527
Er  0.9907  0.7500  0.9111
Mg  0.0108  0.7500  0.5730
Mg  0.4890  0.7500  0.9219
Mg  0.4910  0.2500  0.4118
Mg  0.5090  0.7500  0.5882
Mg  0.5110  0.2500  0.0781
Mg  0.9892  0.2500  0.4270

=====

No. 15
ErMg2: relaxed, PBE-GGA.

Properties
Its mass density is 4.621 g/cm³. As for the volume: 25.86 Å³ per atom. The value obtained for the energy is -2.529 eV/atom. Its spin magnetization is 0.0 μB/f.u.

Unit cell a=5.3294 b=10.4004 c=5.5985 alpha=90.00 beta=90.00 gamma=90.00
Atoms (fractional coordinates):
Er  0.2500  0.0871  0.0893
Er  0.2500  0.4129  0.0893
Er  0.7500  0.5871  0.9107
Er  0.7500  0.9129  0.9107
Mg  0.2500  0.2500  0.5984
Mg  0.2500  0.5924  0.5693
Mg  0.2500  0.7500  0.0674
Mg  0.2500  0.9076  0.5693
Mg  0.7500  0.0924  0.4307
Mg  0.7500  0.2500  0.9326
Mg  0.7500  0.4076  0.4307
Mg  0.7500  0.7500  0.4016

=====

No. 16
NaErMg6: relaxed, PBE-GGA.

Properties
Its mass density is 2.789 g/cm³. As for the volume: 25.01 Å³ per atom. The value obtained for the energy is -1.873 eV/atom. Its spin magnetization is 0.0 μB/f.u.

Unit cell a=6.6582 b=6.6582 c=5.2119 alpha=90.00 beta=90.00 gamma=120.00
Atoms (fractional coordinates):
Na  0.0000  0.0000  0.0000
Er  0.3333  0.6667  0.5000
Mg  0.3471  0.1736  0.5000
Mg  0.5014  0.0029  0.0000
Mg  0.5014  0.4986  0.0000
Mg  0.8264  0.1736  0.5000
Mg  0.8264  0.6529  0.5000
Mg  0.9971  0.4986  0.0000

=====

No. 17
NaErMg: relaxed, PBE-GGA.

Properties
Its mass density is 3.534 g/cm³. As for the volume: 33.60 Å³ per atom. The value obtained for the energy is -1.904 eV/atom. The calculation puts the offset from the most stable computed form at 0.000 eV per atom. Its spin magnetization is 0.0 μB/f.u.

Unit cell a=5.2239 b=5.2239 c=5.2239 alpha=60.00 beta=60.00 gamma=60.00
Atoms (fractional coordinates):
Na  0.0000  0.0000  0.0000
Er  0.5000  0.5000  0.5000
Mg  0.7500  0.7500  0.7500

=====

No. 18
NaErMg: relaxed, PBE-GGA.

Properties
Its mass density is 3.394 g/cm³. As for the volume: 34.99 Å³ per atom. The value obtained for the energy is -1.715 eV/atom. The calculation puts the offset from the most stable computed form at 0.189 eV per atom. Its spin magnetization is 0.2 μB/f.u.

Unit cell a=5.2950 b=5.2950 c=5.2950 alpha=60.00 beta=60.00 gamma=60.00
Atoms (fractional coordinates):
Na  0.0000  0.0000  0.0000
Er  0.7500  0.7500  0.7500
Mg  0.5000  0.5000  0.5000

=====

No. 19
NaErMgS3: relaxed, PBE-GGA.

Properties
Its mass density is 3.659 g/cm³. As for the volume: 23.50 Å³ per atom. The value obtained for the energy is -4.877 eV/atom. Its spin magnetization is 0.0 μB/f.u.

Unit cell a=6.8906 b=6.8906 c=10.7438 alpha=90.00 beta=90.00 gamma=146.43
Atoms (fractional coordinates):
Na  0.2460  0.7540  0.7500
Na  0.7540  0.2460  0.2500
Er  0.5000  0.5000  0.0000
Er  0.5000  0.5000  0.5000
Mg  0.0317  0.9683  0.2500
Mg  0.9683  0.0317  0.7500
S  0.1299  0.8701  0.0648
S  0.1299  0.8701  0.4352
S  0.4244  0.5756  0.2500
S  0.5756  0.4244  0.7500
S  0.8701  0.1299  0.5648
S  0.8701  0.1299  0.9352

=====

No. 20
NaErMgTe3: relaxed, PBE-GGA.

Properties
Its mass density is 5.178 g/cm³. As for the volume: 31.93 Å³ per atom. The value obtained for the energy is -3.904 eV/atom. Its spin magnetization is 0.0 μB/f.u.

Unit cell a=7.7808 b=7.7808 c=11.7126 alpha=90.00 beta=90.00 gamma=147.30
Atoms (fractional coordinates):
Na  0.2436  0.7564  0.7500
Na  0.7564  0.2436  0.2500
Er  0.0000  0.0000  0.0000
Er  0.0000  0.0000  0.5000
Mg  0.4703  0.5297  0.2500
Mg  0.5297  0.4703  0.7500
Te  0.0860  0.9140  0.2500
Te  0.3633  0.6367  0.0596
Te  0.3633  0.6367  0.4404
Te  0.6367  0.3633  0.5596
Te  0.6367  0.3633  0.9404
Te  0.9140  0.0860  0.7500